The following is a PBE+U calculation of an optimized crystal structure of LaTaVO2, from Alexandria via LeMat-Bulk.

It has space group P4/mmm (No. 123), with a = 4.038 Å, b = 4.038 Å, c = 4.947 Å, α = 90.00°, β = 90.00° and γ = 90.00°. The asymmetric unit holds La at (0.000, 0.000, 0.000), Ta at (0.500, 0.500, 0.000), V at (0.500, 0.500, 0.500) and O at (0.000, 0.500, 0.500).

---

The following is a PBE+U calculation of an optimized crystal structure of LaTa2VO8, from Alexandria via LeMat-Bulk.

It has space group C2/m (No. 12), with a = 7.263 Å, b = 6.708 Å, c = 6.595 Å, α = 90.00°, β = 91.69° and γ = 90.00°. The asymmetric unit holds La at (0.000, 0.000, 0.000), Ta at (0.027, 0.500, 0.264), V at (0.000, 0.000, 0.500), O at (0.011, 0.211, 0.716), O at (0.170, 0.500, 0.021) and O at (0.188, 0.500, 0.497).

---

Total magnetic moment, respectively: 0.120; 2.000 μB/f.u..
DFT total energy, respectively: -7.10; -9.08 eV per atom.